# 1
DFT (PBE) results for a geometry-optimized Al2InReAg structure.

a b c (Å): 4.8144 4.8144 5.2116
angles (deg): 90.00 90.00 90.00
Element x y z (fractional)
Al1 0.0000 0.5000 0.0000
Al2 0.5000 0.0000 0.0000
In1 0.0000 0.0000 0.5000
Re1 0.5000 0.5000 0.0000
Ag1 0.5000 0.5000 0.5000

energy of formation from the pure elements	0.6989	eV/atom
electronic total energy	-22.0	eV/f.u.


# 2
DFT (PBE) results for a geometry-optimized Al2InAgSb structure.

a b c (Å): 5.2389 5.2389 5.7520
angles (deg): 90.00 90.00 90.00
Element x y z (fractional)
Al1 0.0000 0.5000 0.0000
Al2 0.5000 0.0000 0.0000
In1 0.0000 0.0000 0.0000
Ag1 0.5000 0.5000 0.5000
Sb1 0.0000 0.0000 0.5000

formation energy (no corrections)	4.38	eV per formula unit
electronic total energy	-12.8	eV/f.u.


# 3
DFT (PBE) results for a geometry-optimized Sc4Al2InAg structure.

a b c (Å): 8.4679 8.4679 8.4679
angles (deg): 33.48 33.48 33.48
Element x y z (fractional)
Sc1 0.1224 0.1224 0.1224
Sc2 0.3728 0.3728 0.3728
Sc3 0.6272 0.6272 0.6272
Sc4 0.8776 0.8776 0.8776
Al1 0.2506 0.2506 0.2506
Al2 0.7494 0.7494 0.7494
In1 0.5000 0.5000 0.5000
Ag1 0.0000 0.0000 0.0000

energy of formation from the pure elements	-0.3802	eV/atom
electronic total energy	-41.4	eV/f.u.


# 4
DFT (PBE) results for a geometry-optimized Sc4AlInAg2 structure.

a b c (Å): 8.4957 8.4957 8.4957
angles (deg): 33.54 33.54 33.54
Element x y z (fractional)
Sc1 0.1225 0.1225 0.1225
Sc2 0.3727 0.3727 0.3727
Sc3 0.6273 0.6273 0.6273
Sc4 0.8775 0.8775 0.8775
Al1 0.0000 0.0000 0.0000
In1 0.5000 0.5000 0.5000
Ag1 0.2512 0.2512 0.2512
Ag2 0.7488 0.7488 0.7488

energy of formation from the pure elements	-0.3656	eV/atom
electronic total energy	-40.4	eV/f.u.


# 5
DFT (PBE) results for a geometry-optimized Al2InAgSe4 structure.

a b c (Å): 8.1342 8.1338 5.6068
angles (deg): 69.84 69.84 40.32
Element x y z (fractional)
Al1 0.0000 0.0000 0.5000
Al2 0.5000 0.5000 0.0000
In1 0.2502 0.2502 0.7498
Ag1 0.7498 0.7498 0.2502
Se1 0.1297 0.6702 0.3298
Se2 0.3700 0.8301 0.6300
Se3 0.6702 0.1297 0.8703
Se4 0.8301 0.3700 0.1699

formation energy (no corrections)	-4.14	eV per formula unit
electronic total energy	-31.2	eV/f.u.


# 6
DFT (PBE) results for a geometry-optimized AlInAgSe4 structure.

a b c (Å): 7.0102 7.0102 7.0102
angles (deg): 130.72 130.72 72.26
Element x y z (fractional)
Al1 0.0000 0.0000 0.0000
In1 0.7500 0.2500 0.5000
Ag1 0.2500 0.7500 0.5000
Se1 0.1498 0.1484 0.5101
Se2 0.3603 0.8502 0.9986
Se3 0.6383 0.6397 0.4899
Se4 0.8516 0.3617 0.0014

formation energy (no corrections)	-3.18	eV per formula unit
electronic total energy	-26.5	eV/f.u.


# 7
DFT (PBE) results for a geometry-optimized SmAlInAg structure.

a b c (Å): 5.0225 5.0225 5.0225
angles (deg): 60.00 60.00 60.00
Element x y z (fractional)
Sm1 0.0000 0.0000 0.0000
Al1 0.2500 0.2500 0.2500
In1 0.5000 0.5000 0.5000
Ag1 0.7500 0.7500 0.7500

energy of formation from the pure elements	-0.2456	eV/atom
electronic total energy	-15.0	eV/f.u.


# 8
DFT (PBE) results for a geometry-optimized Sm2Al4InAg3 structure.

a b c (Å): 4.3489 4.3489 11.1910
angles (deg): 90.00 90.00 90.00
Element x y z (fractional)
Sm1 0.0000 0.5000 0.2441
Sm2 0.5000 0.0000 0.7559
Al1 0.0000 0.0000 0.0000
Al2 0.0000 0.5000 0.6482
Al3 0.5000 0.0000 0.3518
Al4 0.5000 0.5000 0.0000
In1 0.0000 0.0000 0.5000
Ag1 0.0000 0.5000 0.8703
Ag2 0.5000 0.0000 0.1297
Ag3 0.5000 0.5000 0.5000

energy of formation from the pure elements	-0.3423	eV/atom
electronic total energy	-39.1	eV/f.u.